[1]
The following is a PBE calculation of an optimized crystal structure of LiTa2Ru, from Alexandria.

Formation enthalpy at 0 K, meV per atom: 209.3
Spin magnetization, μB per formula unit: 0.000
Space group: P4/mmm, No. 123

Cell lengths 2.8370, 2.8370, 8.7475 Å; angles 90.00, 90.00, 90.00 degrees
Atoms (fractional coordinates):
Li (0.5000, 0.5000, 0.2500)
Ru (0.5000, 0.5000, 0.7500)
Ta (0.0000, 0.0000, 0.9641)
Ta (0.0000, 0.0000, 0.5359)



[2]
The following is a PBE calculation of an optimized crystal structure of BAs, from Alexandria.

Formation enthalpy at 0 K, meV per atom: 266.5
Spin magnetization, μB per formula unit: 0.000
Space group: I4/m, No. 87

Cell lengths 8.8860, 8.8860, 3.4024 Å; angles 90.00, 90.00, 90.00 degrees
Atoms (fractional coordinates):
B (0.3813, 0.7886, 0.0000)
B (0.6187, 0.2114, 0.0000)
B (0.2114, 0.3813, 0.0000)
B (0.7886, 0.6187, 0.0000)
B (0.8813, 0.2886, 0.5000)
B (0.1187, 0.7114, 0.5000)
B (0.7114, 0.8813, 0.5000)
B (0.2886, 0.1187, 0.5000)
As (0.3864, 0.2144, 0.0000)
As (0.6136, 0.7856, 0.0000)
As (0.7856, 0.3864, 0.0000)
As (0.2144, 0.6136, 0.0000)
As (0.8864, 0.7144, 0.5000)
As (0.1136, 0.2856, 0.5000)
As (0.2856, 0.8864, 0.5000)
As (0.7144, 0.1136, 0.5000)